# La7Sm6Tm16

La7Sm6Tm16 after structural relaxation (PBE-GGA, the Alexandria database).

crystal system = cubic
calculated formation energy = 0.254 eV/atom
magnetization = 0.00 μB per cell

Cell and atoms, written as CIF:
```
data_La7Sm6Tm16
_space_group_name_H-M_alt 'P 1'
_space_group_IT_number 1
_cell_length_a 11.2883
_cell_length_b 11.2883
_cell_length_c 11.2883
_cell_angle_alpha 60.00
_cell_angle_beta 60.00
_cell_angle_gamma 60.00
loop_
_space_group_symop_operation_xyz
'x,y,z'
loop_
_atom_site_label
_atom_site_type_symbol
_atom_site_fract_x
_atom_site_fract_y
_atom_site_fract_z
La1 La 0.0000 0.5000 0.5000
La2 La 0.0000 0.0000 0.5000
La3 La 0.5000 0.0000 0.0000
La4 La 0.0000 0.5000 0.0000
La5 La 0.0000 0.0000 0.0000
La6 La 0.5000 0.0000 0.5000
La7 La 0.5000 0.5000 0.0000
Tm1 Tm 0.8702 0.8702 0.8702
Tm2 Tm 0.0423 0.6526 0.6526
Tm3 Tm 0.3474 0.3474 0.3474
Tm4 Tm 0.8702 0.3895 0.8702
Tm5 Tm 0.1298 0.1298 0.1298
Tm6 Tm 0.1298 0.1298 0.6105
Tm7 Tm 0.9577 0.3474 0.3474
Tm8 Tm 0.6105 0.1298 0.1298
Tm9 Tm 0.3474 0.9577 0.3474
Tm10 Tm 0.3895 0.8702 0.8702
Tm11 Tm 0.8702 0.8702 0.3895
Tm12 Tm 0.1298 0.6105 0.1298
Tm13 Tm 0.6526 0.6526 0.0423
Tm14 Tm 0.3474 0.3474 0.9577
Tm15 Tm 0.6526 0.0423 0.6526
Tm16 Tm 0.6526 0.6526 0.6526
Sm1 Sm 0.7449 0.2551 0.7449
Sm2 Sm 0.2551 0.7449 0.2551
Sm3 Sm 0.7449 0.2551 0.2551
Sm4 Sm 0.7449 0.7449 0.2551
Sm5 Sm 0.2551 0.7449 0.7449
Sm6 Sm 0.2551 0.2551 0.7449
```